20
Lattice="6.486 -7.136 0.000 6.486 7.136 0.000 0.000 0.000 8.827" Properties=species:S:1:pos:R:3 comment="CaAc6Sn3 | Alexandria via LeMat-Bulk | PBE | optimized geometry" formation_energy_kj_per_mol_fu=-383 final_energy_ry_per_atom=-0.3133 pbc="T T T"
Ca 6.486 4.827 4.413
Ca 6.486 -4.827 0.000
Ac 3.259 2.740 2.738
Ac 2.096 0.798 5.808
Ac 2.096 -0.798 1.394
Ac 6.486 3.167 0.589
Ac 3.259 -2.740 7.152
Ac 6.486 0.804 5.828
Ac 6.486 -0.804 1.415
Ac 9.713 2.740 2.738
Ac 6.486 -3.167 5.002
Ac 10.876 0.798 5.808
Ac 10.876 -0.798 1.394
Ac 9.713 -2.740 7.152
Sn 6.486 5.906 7.513
Sn 4.120 1.080 8.441
Sn 4.120 -1.080 4.027
Sn 8.852 1.080 8.441
Sn 8.852 -1.080 4.027
Sn 6.486 -5.906 3.100